(1)
# PBE HfAuS, optimized geometry
# energy relative to the lowest polymorph listed for this composition = 0.0566 eV per atom
# energy = -39.79 eV for the cell shown
# raw formation energy = -0.846 eV per atom
# theoretical density = 11.1 g/cm³
data_HfAuS
_cell_length_a 6.413
_cell_length_b 6.413
_cell_length_c 6.481
_cell_angle_alpha 114.30
_cell_angle_beta 114.30
_cell_angle_gamma 30.25
_space_group_name_H-M_alt 'P 1'
_space_group_IT_number 1
loop_
_space_group_symop_operation_xyz
'x,y,z'
loop_
_atom_site_label
_atom_site_fract_x
_atom_site_fract_y
_atom_site_fract_z
_atom_site_occupancy
Hf1 0.000 0.000 0.000 1
Hf2 0.216 0.216 0.867 1
Au1 0.431 0.431 0.273 1
Au2 0.718 0.718 0.239 1
S1 0.536 0.536 0.714 1
S2 0.796 0.796 0.680 1

***

(2)
# PBE HfAuS, optimized geometry
# energy relative to the lowest polymorph listed for this composition = 0.0539 eV per atom
# energy = -39.81 eV for the cell shown
# raw formation energy = -0.849 eV per atom
# theoretical density = 11.3 g/cm³
data_HfAuS
_cell_length_a 4.790
_cell_length_b 4.790
_cell_length_c 8.696
_cell_angle_alpha 113.37
_cell_angle_beta 113.37
_cell_angle_gamma 41.59
_space_group_name_H-M_alt 'P 1'
_space_group_IT_number 1
loop_
_space_group_symop_operation_xyz
'x,y,z'
loop_
_atom_site_label
_atom_site_fract_x
_atom_site_fract_y
_atom_site_fract_z
_atom_site_occupancy
Hf1 0.000 0.000 0.000 1
Hf2 0.591 0.591 0.697 1
Au1 0.056 0.056 0.417 1
Au2 0.711 0.711 0.256 1
S1 0.256 0.256 0.934 1
S2 0.874 0.874 0.678 1

***

(3)
# PBE HfAuS, optimized geometry
# energy relative to the lowest polymorph listed for this composition = 0.0000 eV per atom
# energy = -40.13 eV for the cell shown
# raw formation energy = -0.902 eV per atom
# theoretical density = 12.8 g/cm³
data_HfAuS
_cell_length_a 3.390
_cell_length_b 3.390
_cell_length_c 9.181
_cell_angle_alpha 90.00
_cell_angle_beta 90.00
_cell_angle_gamma 90.00
_space_group_name_H-M_alt 'P 1'
_space_group_IT_number 1
loop_
_space_group_symop_operation_xyz
'x,y,z'
loop_
_atom_site_label
_atom_site_fract_x
_atom_site_fract_y
_atom_site_fract_z
_atom_site_occupancy
Hf1 0.250 0.250 0.211 1
Hf2 0.750 0.750 0.789 1
Au1 0.250 0.250 0.585 1
Au2 0.750 0.750 0.415 1
S1 0.250 0.250 0.904 1
S2 0.750 0.750 0.096 1

***

(4)
# PBE HfTiAuS2, optimized geometry
# energy = -30.03 eV for the cell shown
# raw formation energy = -0.130 eV per atom
# theoretical density = 7.8 g/cm³
data_HfTiAuS2
_cell_length_a 4.526
_cell_length_b 4.526
_cell_length_c 5.073
_cell_angle_alpha 90.00
_cell_angle_beta 90.00
_cell_angle_gamma 90.00
_space_group_name_H-M_alt 'P 1'
_space_group_IT_number 1
loop_
_space_group_symop_operation_xyz
'x,y,z'
loop_
_atom_site_label
_atom_site_fract_x
_atom_site_fract_y
_atom_site_fract_z
_atom_site_occupancy
Hf1 0.000 0.000 0.000 1
Ti1 0.500 0.500 0.500 1
Au1 0.500 0.500 0.000 1
S1 0.000 0.500 0.500 1
S2 0.500 0.000 0.500 1